The following is a PBE-GGA calculation of a geometry-optimized DyTe3 structure, from the Alexandria database.

Cell lengths 14.5641, 14.5641, 4.4372 Å; angles 90.00, 90.00, 163.56 degrees
Fractional positions:
Dy (0.0523, 0.9477, 0.7500)
Dy (0.9477, 0.0523, 0.2500)
Te (0.1625, 0.8375, 0.7500)
Te (0.3156, 0.6844, 0.7500)
Te (0.4460, 0.5540, 0.7500)
Te (0.5540, 0.4460, 0.2500)
Te (0.6844, 0.3156, 0.2500)
Te (0.8375, 0.1625, 0.2500)

Volume = 133.2 Å³/f.u.
Uncorrected formation energy = -223 kJ/mol of formula units

The following is a PBE-GGA calculation of a geometry-optimized CaZr2Be structure, from the Alexandria database.

Cell lengths 9.7630, 9.7630, 9.7630 Å; angles 19.74, 19.74, 19.74 degrees
Fractional positions:
Ca (0.0000, 0.0000, 0.0000)
Zr (0.5231, 0.5231, 0.5231)
Zr (0.7719, 0.7719, 0.7719)
Be (0.2564, 0.2564, 0.2564)

ΔE_f = 370 meV per atom
Volume = 92.8 Å³/f.u.

The following is a PBE-GGA calculation of a geometry-optimized LaScIn2Te structure, from the Alexandria database.

Cell lengths 5.4543, 5.4543, 5.3966 Å; angles 90.00, 90.00, 90.00 degrees
Fractional positions:
La (0.0000, 0.0000, 0.0000)
Sc (0.5000, 0.5000, 0.5000)
In (0.0000, 0.5000, 0.5000)
In (0.5000, 0.0000, 0.5000)
Te (0.5000, 0.5000, 0.0000)

Volume = 160.5 Å³/f.u.
Uncorrected formation energy = -116 kJ/mol of formula units

The following is a PBE-GGA calculation of a geometry-optimized TmPuCd6 structure, from the Alexandria database.

Cell lengths 4.9199, 6.5276, 6.5276 Å; angles 67.03, 90.00, 90.00 degrees
Fractional positions:
Tm (0.0000, 0.0000, 0.0000)
Pu (0.5000, 0.7386, 0.7386)
Cd (0.0000, 0.0578, 0.4866)
Cd (0.0000, 0.4866, 0.0578)
Cd (0.0000, 0.5445, 0.5445)
Cd (0.5000, 0.1920, 0.1920)
Cd (0.5000, 0.2514, 0.6810)
Cd (0.5000, 0.6810, 0.2514)

ΔE_f = -132 meV per atom
Volume = 193.0 Å³/f.u.

The following is a PBE-GGA calculation of a geometry-optimized Cr2RhCl structure, from the Alexandria database.

Cell lengths 5.0555, 5.0555, 4.2790 Å; angles 93.15, 93.15, 33.93 degrees
Fractional positions:
Cr (0.0000, 0.0000, 0.0000)
Cr (0.7016, 0.7016, 0.2917)
Rh (0.2695, 0.2695, 0.8408)
Cl (0.4818, 0.4818, 0.5192)

Volume = 60.9 Å³/f.u.
Energy above the lowest structure with this stoichiometry = 0.184 eV per atom
Uncorrected formation energy = 110 kJ/mol of formula units

The following is a PBE-GGA calculation of a geometry-optimized RbTiGa2Pt structure, from the Alexandria database.

Cell lengths 4.8724, 4.8724, 5.9785 Å; angles 90.00, 90.00, 90.00 degrees
Fractional positions:
Rb (0.0000, 0.0000, 0.0000)
Ti (0.5000, 0.5000, 0.0000)
Ga (0.0000, 0.5000, 0.5000)
Ga (0.5000, 0.0000, 0.5000)
Pt (0.0000, 0.0000, 0.5000)

ΔE_f = 670 meV per atom
Volume = 141.9 Å³/f.u.